The following is a DFT calculation (PBE) of a relaxed AlAsPO2 crystal.

abc: 3.7202 3.7202 4.9429
angles: 90.00 90.00 90.00
Last column: nearest neighbours and their distance in Å.
Fractional positions:
Al: 0.0000 0.0000 0.0000  4 P 2.63
As: 0.5000 0.5000 0.5000  4 O 1.86
P: 0.5000 0.5000 0.0000  2 As 2.47, 4 Al 2.63
O: 0.0000 0.5000 0.5000  2 As 1.86
O: 0.5000 0.0000 0.5000  2 As 1.86

spin magnetization: 0.00 Bohr magnetons per cell
excess energy over the best structure of this formula in the dataset: 41.2 kJ per mole of atoms
crystal system: tetragonal
uncorrected formation energy: -174 kJ/mol of formula units